# NaZnInAg

An optimized crystal structure of NaZnInAg (PBE-GGA, the Alexandria database).

Unit cell a=4.8784 b=4.8784 c=4.8784 alpha=60.00 beta=60.00 gamma=60.00
Last column: nearest neighbours and their distance in Å.
Atoms (fractional coordinates):
1 Zn 0.7500 0.7500 0.7500  4 In 2.99, 4 Na 2.99
2 Ag 0.2500 0.2500 0.2500  4 In 2.99, 4 Na 2.99
3 Na 0.5000 0.5000 0.5000  4 Zn 2.99, 4 Ag 2.99
4 In 0.0000 0.0000 0.0000  4 Zn 2.99, 4 Ag 2.99

Computed properties:
DOS(E_F) ... 0.37 states/eV per atom
ΔH_f (0 K) ... -26 meV/atom


# LaAgSn2Se4

An optimized crystal structure of LaAgSn2Se4 (PBE-GGA, the Alexandria database).

Unit cell a=4.2959 b=7.6056 c=7.1366 alpha=70.44 beta=90.00 gamma=90.00
Last column: nearest neighbours and their distance in Å.
Atoms (fractional coordinates):
1 La 0.0000 0.5000 0.5000  6 Se 3.00-3.01
2 Se 0.5000 0.7472 0.2511  1 Ag 3.00, 2 La 3.01, 3 Sn 3.02-3.04
3 Se 0.5000 0.2528 0.7489  1 Ag 3.00, 2 La 3.01, 3 Sn 3.02-3.04
4 Se 0.0000 0.2577 0.2442  2 Ag 2.98, 1 La 3.00, 3 Sn 3.03-3.06
5 Se 0.0000 0.7423 0.7558  2 Ag 2.98, 1 La 3.00, 3 Sn 3.03-3.06
6 Sn 0.5000 0.0000 0.5000  6 Se 3.02-3.06
7 Sn 0.0000 0.0000 0.0000  6 Se 3.03-3.04
8 Ag 0.5000 0.5000 0.0000  6 Se 2.98-3.00

Computed properties:
Raw formation energy ... -622.1 kJ/mol of formula units


# TaReRu

An optimized crystal structure of TaReRu (PBE-GGA, the Alexandria database).

Unit cell a=4.4361 b=4.4361 c=2.7731 alpha=90.00 beta=90.00 gamma=120.00
Last column: nearest neighbours and their distance in Å.
Atoms (fractional coordinates):
1 Ta 0.6667 0.3333 0.6704  3 Re 2.69, 3 Ru 2.70, 2 Ta 2.77
2 Ru 0.3333 0.6667 0.3656  3 Ta 2.70, 2 Ru 2.77, 3 Re 2.79
3 Re 0.0000 0.0000 0.9640  3 Ta 2.69, 2 Re 2.77, 3 Ru 2.79

Computed properties:
DOS(E_F) ... 1.43 states/eV per atom
ΔH_f (0 K) ... 48 meV/atom


# InBIr2Pd

An optimized crystal structure of InBIr2Pd (PBE-GGA, the Alexandria database).

Unit cell a=4.9278 b=4.8312 c=4.9278 alpha=90.00 beta=90.00 gamma=90.00
Last column: nearest neighbours and their distance in Å.
Atoms (fractional coordinates):
1 Ir 0.5000 0.0000 0.0000  2 In 2.46
2 Ir 0.0000 0.0000 0.5000  2 In 2.46
3 B 0.5000 0.5000 0.5000  8 Ir 3.45, 4 Pd 3.48
4 Pd 0.0000 0.5000 0.0000  2 In 2.42
5 In 0.0000 0.0000 0.0000  2 Pd 2.42, 4 Ir 2.46

Computed properties:
DOS(E_F) ... 1.23 states/eV per atom
ΔH_f (0 K) ... 2532 meV/atom


# Sc2NbS2

An optimized crystal structure of Sc2NbS2 (PBE-GGA, the Alexandria database).

Unit cell a=7.4379 b=7.4379 c=3.2015 alpha=90.00 beta=90.00 gamma=90.00
Last column: nearest neighbours and their distance in Å.
Atoms (fractional coordinates):
1 Sc 0.8513 0.6487 0.0000  6 S 2.61-2.77, 2 Nb 2.84
2 Sc 0.3513 0.8513 0.0000  6 S 2.61-2.77, 2 Nb 2.84
3 Sc 0.6487 0.1487 0.0000  6 S 2.61-2.77, 2 Nb 2.84
4 Sc 0.1487 0.3513 0.0000  6 S 2.61-2.77, 2 Nb 2.84
5 Nb 0.0000 0.0000 0.0000  4 Sc 2.84
6 Nb 0.5000 0.5000 0.0000  4 Sc 2.84
7 S 0.8442 0.3442 0.5000  6 Sc 2.61-2.77
8 S 0.6558 0.8442 0.5000  6 Sc 2.61-2.77
9 S 0.1558 0.6558 0.5000  6 Sc 2.61-2.77
10 S 0.3442 0.1558 0.5000  6 Sc 2.61-2.77

Computed properties:
DOS(E_F) ... 1.04 states/eV per atom
Raw formation energy ... -273.9 kJ/mol of formula units


# MnV3Cr3

An optimized crystal structure of MnV3Cr3 (PBE-GGA, the Alexandria database).

Unit cell a=5.6783 b=5.6782 c=5.6380 alpha=90.00 beta=90.00 gamma=89.50
Last column: nearest neighbours and their distance in Å.
Atoms (fractional coordinates):
1 Cr 0.2982 0.2982 0.5000  4 V 2.48, 2 Cr 2.63
2 Cr 0.3051 0.6949 0.0000  4 V 2.49, 2 Mn 2.64
3 Cr 0.7018 0.7018 0.5000  4 V 2.48, 2 Cr 2.63
4 Cr 0.7587 0.2413 0.5000  6 V 2.40-2.47, 2 Cr 2.63
5 Cr 0.2413 0.7587 0.5000  6 V 2.40-2.47, 2 Cr 2.63
6 Cr 0.6949 0.3051 0.0000  4 V 2.49, 2 Mn 2.64
7 V 0.0000 0.5000 0.2486  2 Mn 2.44, 6 Cr 2.47-2.49
8 V 0.5000 0.0000 0.7514  2 Mn 2.44, 6 Cr 2.47-2.49
9 V 0.0000 0.0000 0.2460  2 Mn 2.35, 2 Cr 2.40
10 V 0.0000 0.5000 0.7514  2 Mn 2.44, 6 Cr 2.47-2.49
11 V 0.5000 0.0000 0.2486  2 Mn 2.44, 6 Cr 2.47-2.49
12 V 0.0000 0.0000 0.7540  2 Mn 2.35, 2 Cr 2.40
13 Mn 0.2360 0.2360 0.0000  6 V 2.35-2.44
14 Mn 0.7640 0.7640 0.0000  6 V 2.35-2.44

Computed properties:
DOS(E_F) ... 1.07 states/eV per atom
ΔH_f (0 K) ... 308 meV/atom


| no. | ρ (Mg/m³) |
| --- | --- |
| 1 | 6.29 |
| 2 | 6.05 |
| 3 | 16.45 |
| 4 | 8.73 |
| 5 | 4.63 |
| 6 | 6.65 |